1.
This record from the Alexandria database describes a geometry-optimized Nb3HOs structure. The functional is PBE.

As for the density: 10.91 g cm⁻³. For the total magnetization, the calculation gives 0.00 μB per atom. For the total DFT energy (no corrections), the calculation gives -8.934 eV per atom.

It has space group Pm-3m (No. 221), with a = 4.151 Å, b = 4.151 Å, c = 4.151 Å, α = 90.00°, β = 90.00° and γ = 90.00°. Symmetry generates all atoms from Nb at (0.000, 0.000, 0.500), H at (0.000, 0.000, 0.000) and Os at (0.500, 0.500, 0.500).

---

2.
This record from the Alexandria database describes a geometry-optimized MgZn2Ni structure. The functional is PBE.

As for the density: 5.73 g cm⁻³. For the total magnetization, the calculation gives 0.00 μB per atom. For the formation enthalpy at 0 K, the calculation gives -174 meV/atom. For the total DFT energy (no corrections), the calculation gives -2.655 eV per atom.

It has space group Cmcm (No. 63), with a = 3.841 Å, b = 9.247 Å, c = 6.977 Å, α = 90.00°, β = 90.00° and γ = 90.00°. Symmetry generates all atoms from Mg at (0.000, 0.063, 0.250), Zn at (0.000, 0.358, 0.057) and Ni at (0.000, 0.229, 0.750).

---

3.
This record from the Alexandria database describes a geometry-optimized Hf2TaO structure. The functional is PBE.

As for the density: 14.37 g cm⁻³. The calculation puts the formation energy without anion corrections at -0.73 eV per atom. For the total magnetization, the calculation gives 0.00 μB per atom. For the total DFT energy (no corrections), the calculation gives -9.914 eV per atom.

It has space group P4/mmm (No. 123), with a = 2.877 Å, b = 2.877 Å, c = 7.731 Å, α = 90.00°, β = 90.00° and γ = 90.00°. Symmetry generates all atoms from Hf at (0.000, 0.000, 0.197), Ta at (0.500, 0.500, 0.500) and O at (0.500, 0.500, 0.000).

---

4.
This record from the Alexandria database describes a geometry-optimized Sm3Zn2BRu3 structure. The functional is PBE.

As for the density: 8.99 g cm⁻³. For the total magnetization, the calculation gives 0.00 μB per atom. For the formation enthalpy at 0 K, the calculation gives -225 meV/atom. For the total DFT energy (no corrections), the calculation gives -5.915 eV per atom.

It has space group P-62m (No. 189), with a = 7.3984 Å, b = 7.3984 Å, c = 3.4896 Å, α = 90.00°, β = 90.00° and γ = 120.00°. Symmetry generates all atoms from Sm at (0.0000, 0.3612, 0.0000), Zn at (0.3333, 0.6667, 0.5000), B at (0.0000, 0.0000, 0.0000) and Ru at (0.0000, 0.7789, 0.5000).

---

5.
This record from the Alexandria database describes a geometry-optimized NdSm4Th2 structure. The functional is PBE.

As for the density: 7.38 g cm⁻³. For the total magnetization, the calculation gives 0.00 μB per atom. For the formation enthalpy at 0 K, the calculation gives 776 meV/atom. For the total DFT energy (no corrections), the calculation gives -4.722 eV per atom.

It has space group I4/mmm (No. 139), with a = 5.737 Å, b = 5.737 Å, c = 16.550 Å, α = 90.00°, β = 90.00° and γ = 90.00°. Symmetry generates all atoms from Nd at (0.000, 0.000, 0.000), Sm at (0.000, 0.000, 0.185), Sm at (0.000, 0.500, 0.000) and Th at (0.000, 0.000, 0.391).

---

6.
This record from the Alexandria database describes a geometry-optimized CsK2TlI4 structure. The functional is PBE.

As for the density: 3.90 g cm⁻³. The calculation puts the formation energy without anion corrections at -1.28 eV per atom. For the total magnetization, the calculation gives 0.00 μB per atom. For the total DFT energy (no corrections), the calculation gives -2.736 eV per atom.

It has space group P2/m (No. 10), with a = 8.967 Å, b = 5.167 Å, c = 8.986 Å, α = 90.00°, β = 109.31° and γ = 90.00°. Symmetry generates all atoms from Cs at (0.000, 0.000, 0.000), K at (0.000, 0.500, 0.500), K at (0.500, 0.000, 0.500), Tl at (0.500, 0.500, 0.000), I at (0.260, 0.000, 0.743) and I at (0.268, 0.500, 0.265).

---

Number 3 is which compound?
Hf2TaO

---

Repeat the third record exactly.
This record from the Alexandria database describes a geometry-optimized Hf2TaO structure. The functional is PBE.

As for the density: 14.37 g cm⁻³. The calculation puts the formation energy without anion corrections at -0.73 eV per atom. For the total magnetization, the calculation gives 0.00 μB per atom. For the total DFT energy (no corrections), the calculation gives -9.914 eV per atom.

It has space group P4/mmm (No. 123), with a = 2.877 Å, b = 2.877 Å, c = 7.731 Å, α = 90.00°, β = 90.00° and γ = 90.00°. Symmetry generates all atoms from Hf at (0.000, 0.000, 0.197), Ta at (0.500, 0.500, 0.500) and O at (0.500, 0.500, 0.000).

---

density of number 3 (Hf2TaO)?
14.37 g cm⁻³

---

The highest density belongs to which entry?
Hf2TaO